# 1
Below is a relaxed structure of V12CuSi6, with properties calculated at the PBE level.

Computed properties:
E_tot = -0.2936 Ha/atom
Space group = R-3 (148)
Volume = 13.15 A^3/atom
Theoretical density = 5.61 g/cm³
Raw formation energy = -0.302 eV per atom
DOS at the Fermi energy = 17.156 states/eV per cell

Cell: 6.299 6.299 6.299 Å, 89.27 89.27 89.27°
Fractional positions:
V 0.017 0.311 0.924
V 0.076 0.983 0.689
V 0.113 0.363 0.438
V 0.311 0.924 0.017
V 0.363 0.438 0.113
V 0.438 0.113 0.363
V 0.562 0.887 0.637
V 0.637 0.562 0.887
V 0.689 0.076 0.983
V 0.887 0.637 0.562
V 0.924 0.017 0.311
V 0.983 0.689 0.076
Cu 0.500 0.500 0.500
Si 0.229 0.759 0.378
Si 0.241 0.622 0.771
Si 0.378 0.229 0.759
Si 0.622 0.771 0.241
Si 0.759 0.378 0.229
Si 0.771 0.241 0.622


# 2
Below is a relaxed structure of PrCd3Ga3, with properties calculated at the PBE level.

Computed properties:
E_tot = -0.0781 Ha/atom
Space group = Pm-3n (223)
Volume = 28.36 A^3/atom
Theoretical density = 5.75 g/cm³
Formation energy from the elements = 0.25 eV per atom
DOS at the Fermi energy = 8.039 states/eV per cell

Cell: 7.350 7.350 7.350 Å, 90.00 90.00 90.00°
Fractional positions:
Pr 0.000 0.000 0.000
Pr 0.500 0.500 0.500
Cd 0.000 0.250 0.500
Cd 0.000 0.750 0.500
Cd 0.250 0.500 0.000
Cd 0.500 0.000 0.250
Cd 0.500 0.000 0.750
Cd 0.750 0.500 0.000
Ga 0.000 0.500 0.250
Ga 0.000 0.500 0.750
Ga 0.250 0.000 0.500
Ga 0.500 0.250 0.000
Ga 0.500 0.750 0.000
Ga 0.750 0.000 0.500


# 3
Below is a relaxed structure of Rb2HfRh, with properties calculated at the PBE level.

Computed properties:
E_tot = -0.1503 Ha/atom
Space group = I-42d (122)
Volume = 53.39 A^3/atom
Theoretical density = 3.52 g/cm³
Formation energy from the elements = 0.72 eV per atom
Relative energy among the computed polymorphs = 0 meV per atom
DOS at the Fermi energy = 8.937 states/eV per cell

Cell: 9.787 9.787 9.787 Å, 93.36 93.36 151.99°
Fractional positions:
Rb 0.375 0.212 0.337
Rb 0.788 0.125 0.163
Rb 0.875 0.038 0.663
Rb 0.962 0.625 0.837
Hf 0.250 0.750 0.500
Hf 0.500 0.500 0.000
Rh 0.000 0.000 0.000
Rh 0.750 0.250 0.500


# 4
Below is a relaxed structure of TbMgCdRu, with properties calculated at the PBE level.

Computed properties:
E_tot = -0.1545 Ha/atom
Space group = F-43m (216)
Volume = 20.38 A^3/atom
Theoretical density = 8.08 g/cm³
Formation energy from the elements = -0.10 eV per atom
DOS at the Fermi energy = 3.332 states/eV per cell

Cell: 4.867 4.867 4.867 Å, 60.00 60.00 60.00°
Fractional positions:
Tb 0.000 0.000 0.000
Mg 0.500 0.500 0.500
Cd 0.750 0.750 0.750
Ru 0.250 0.250 0.250


> Which value of theoretical density does entry 4 give?

8.08 g/cm³


> Which of these has the highest DOS at the Fermi energy?

V12CuSi6